#a
Below is a relaxed BaOs2Au crystal, with properties calculated at the PBE level.

Cell: 2.9633 5.0998 5.3685 Å, 90.00 90.00 90.00°
Last column: nearest neighbours and their distance in Å.
Sites, in units of the cell vectors:
Ba 0.0000 0.0000 0.0000  4 Au 2.95, 2 Ba 2.96, 4 Os 3.07
Os 0.0000 0.5000 0.5000  6 Os 2.95-2.96, 4 Au 3.07
Os 0.5000 0.0000 0.5000  6 Os 2.95-2.96, 4 Ba 3.07
Au 0.5000 0.5000 0.0000  4 Ba 2.95, 2 Au 2.96, 4 Os 3.07

Summary:
SG = Pmmm
Size of the total moment = 0.270 μB/atom

=====

#b
Below is a relaxed BaOs2Au crystal, with properties calculated at the PBE level.

Cell: 3.1081 4.9447 10.1116 Å, 90.00 90.00 90.00°
Last column: nearest neighbours and their distance in Å.
Sites, in units of the cell vectors:
Ba 0.0000 0.0000 0.0000  6 Ba 2.92-3.11, 4 Os 3.19
Ba 0.5000 0.5000 0.0000  6 Ba 2.92-3.11, 4 Os 3.19
Os 0.0000 0.5000 0.2758  2 Au 2.75, 4 Os 2.92
Os 0.0000 0.5000 0.7242  2 Au 2.75, 4 Os 2.92
Os 0.5000 0.0000 0.2758  2 Au 2.75, 4 Os 2.92
Os 0.5000 0.0000 0.7242  2 Au 2.75, 4 Os 2.92
Au 0.0000 0.0000 0.5000  4 Os 2.75, 4 Au 2.92
Au 0.5000 0.5000 0.5000  4 Os 2.75, 4 Au 2.92

Summary:
SG = Cmmm
Size of the total moment = 0.000 μB/atom

=====

Relative to the most stable one, in meV per atom, the structures come out at #a 0; #b 192.

=====

#a
Below is a relaxed Ba2OsAu crystal, with properties calculated at the PBE level.

Cell: 12.7832 3.8571 5.2900 Å, 90.00 114.35 90.00°
Last column: nearest neighbours and their distance in Å.
Sites, in units of the cell vectors:
Ba 0.0000 0.0000 0.0000  4 Os 3.32-3.33, 2 Ba 3.55, 2 Au 3.60-3.62
Ba 0.2037 0.0000 0.7031  4 Au 3.42, 2 Os 3.53, 2 Ba 3.55
Ba 0.5000 0.5000 0.0000  4 Os 3.32-3.33, 2 Ba 3.55, 2 Au 3.60-3.62
Ba 0.7037 0.5000 0.7031  4 Au 3.42, 2 Os 3.53, 2 Ba 3.55
Os 0.4501 0.0000 0.4505  2 Au 2.69
Os 0.9501 0.5000 0.4505  2 Au 2.69
Au 0.2891 0.5000 0.2885  2 Os 2.69
Au 0.7891 0.0000 0.2885  2 Os 2.69

Summary:
SG = Cm
Size of the total moment = 0.150 μB/atom

=====

#b
Below is a relaxed Ba2OsAu crystal, with properties calculated at the PBE level.

Cell: 4.6501 4.6501 10.6723 Å, 90.00 90.00 90.00°
Last column: nearest neighbours and their distance in Å.
Sites, in units of the cell vectors:
Ba 0.0000 0.0000 0.0000  4 Au 3.29, 4 Ba 3.54, 4 Os 3.54
Ba 0.0000 0.5000 0.2500  4 Os 3.29, 4 Ba 3.54, 4 Au 3.54
Ba 0.5000 0.0000 0.7500  4 Os 3.29, 4 Ba 3.54, 4 Au 3.54
Ba 0.5000 0.5000 0.5000  4 Au 3.29, 4 Ba 3.54, 4 Os 3.54
Os 0.0000 0.5000 0.7500  8 Ba 3.29-3.54, 4 Au 3.54
Os 0.5000 0.0000 0.2500  8 Ba 3.29-3.54, 4 Au 3.54
Au 0.0000 0.0000 0.5000  8 Ba 3.29-3.54, 4 Os 3.54
Au 0.5000 0.5000 0.0000  8 Ba 3.29-3.54, 4 Os 3.54

Summary:
SG = I-4m2
Size of the total moment = 0.265 μB/atom

=====

Relative to the most stable one, in meV per atom, the structures come out at #a 0; #b 171.

=====

#a
Below is a relaxed BaOsAu2 crystal, with properties calculated at the PBE level.

Cell: 3.5789 3.5789 7.3774 Å, 90.00 90.00 90.00°
Last column: nearest neighbours and their distance in Å.
Sites, in units of the cell vectors:
Ba 0.0000 0.0000 0.0000  5 Au 3.34, 4 Os 3.52, 4 Ba 3.58
Os 0.5000 0.5000 0.3322  5 Au 2.68-2.74
Au 0.0000 0.0000 0.4534  4 Os 2.68
Au 0.5000 0.5000 0.7041  1 Os 2.74

Summary:
SG = P4mm
Size of the total moment = 0.000 μB/atom

=====

#b
Below is a relaxed BaOsAu2 crystal, with properties calculated at the PBE level.

Cell: 4.6114 4.6114 16.9007 Å, 90.00 90.00 120.00°
Last column: nearest neighbours and their distance in Å.
Sites, in units of the cell vectors:
Ba 0.0000 0.0000 0.0000  8 Au 3.29-3.55
Ba 0.3333 0.6667 0.6667  8 Au 3.29-3.55
Ba 0.6667 0.3333 0.3333  8 Au 3.29-3.55
Os 0.0000 0.0000 0.5000  6 Au 2.70
Os 0.3333 0.6667 0.1667  6 Au 2.70
Os 0.6667 0.3333 0.8333  6 Au 2.70
Au 0.0000 0.0000 0.1946  3 Os 2.70, 3 Au 2.82
Au 0.0000 0.0000 0.8054  3 Os 2.70, 3 Au 2.82
Au 0.3333 0.6667 0.4721  3 Os 2.70, 3 Au 2.82
Au 0.3333 0.6667 0.8613  3 Os 2.70, 3 Au 2.82
Au 0.6667 0.3333 0.1387  3 Os 2.70, 3 Au 2.82
Au 0.6667 0.3333 0.5279  3 Os 2.70, 3 Au 2.82

Summary:
SG = R-3m
Size of the total moment = 0.000 μB/atom

=====

#c
Below is a relaxed BaOsAu2 crystal, with properties calculated at the PBE level.

Cell: 3.1101 4.5113 6.7793 Å, 90.00 94.18 90.00°
Last column: nearest neighbours and their distance in Å.
Sites, in units of the cell vectors:
Ba 0.0000 0.0000 0.0000  2 Ba 3.11, 5 Au 3.17-3.35, 2 Os 3.45
Os 0.9053 0.5000 0.3785  6 Au 2.70-2.83
Au 0.4511 0.0000 0.4349  4 Os 2.70-2.83, 2 Au 2.95
Au 0.4530 0.5000 0.7159  2 Os 2.75-2.77, 2 Au 2.95

Summary:
SG = Pm
Size of the total moment = 0.000 μB/atom

=====

Relative to the most stable one, in meV per atom, the structures come out at #a 369; #b 0; #c 305.

=====

#a
Below is a relaxed BaOsAu2 crystal, with properties calculated at the PBE level.

Cell: 6.7933 7.7191 3.3069 Å, 90.00 90.00 90.00°
Last column: nearest neighbours and their distance in Å.
Sites, in units of the cell vectors:
Ba 0.0000 0.0000 0.0000  8 Au 3.06, 2 Ba 3.31, 2 Os 3.40
Ba 0.5000 0.5000 0.0000  8 Au 3.06, 2 Ba 3.31, 2 Os 3.40
Os 0.0000 0.5000 0.0000  8 Au 3.06, 2 Os 3.31, 2 Ba 3.40
Os 0.5000 0.0000 0.0000  8 Au 3.06, 2 Os 3.31, 2 Ba 3.40
Au 0.2500 0.2500 0.5000  4 Ba 3.06, 4 Os 3.06, 4 Au 3.31-3.40
Au 0.2500 0.7500 0.5000  4 Ba 3.06, 4 Os 3.06, 4 Au 3.31-3.40
Au 0.7500 0.2500 0.5000  4 Ba 3.06, 4 Os 3.06, 4 Au 3.31-3.40
Au 0.7500 0.7500 0.5000  4 Ba 3.06, 4 Os 3.06, 4 Au 3.31-3.40

Summary:
SG = Cmmm
Size of the total moment = 0.001 μB/atom

=====

#b
Below is a relaxed BaOsAu2 crystal, with properties calculated at the PBE level.

Cell: 4.6546 4.6546 16.9292 Å, 90.00 90.00 120.00°
Last column: nearest neighbours and their distance in Å.
Sites, in units of the cell vectors:
Ba 0.0000 0.0000 0.0000  1 Os 3.08, 1 Au 3.19
Ba 0.3333 0.6667 0.6667  1 Os 3.08, 1 Au 3.19
Ba 0.6667 0.3333 0.3333  1 Os 3.08, 1 Au 3.19
Os 0.0000 0.0000 0.1820  6 Au 2.69-2.76
Os 0.3333 0.6667 0.8487  6 Au 2.69-2.76
Os 0.6667 0.3333 0.5153  6 Au 2.69-2.76
Au 0.0000 0.0000 0.5175  3 Os 2.69, 3 Au 2.77
Au 0.0000 0.0000 0.8117  3 Os 2.76, 3 Au 2.77
Au 0.3333 0.6667 0.1842  3 Os 2.69, 3 Au 2.77
Au 0.3333 0.6667 0.4784  3 Os 2.76, 3 Au 2.77
Au 0.6667 0.3333 0.1450  3 Os 2.76, 3 Au 2.77
Au 0.6667 0.3333 0.8509  3 Os 2.69, 3 Au 2.77

Summary:
SG = R3m
Size of the total moment = 0.000 μB/atom

=====

#c
Below is a relaxed BaOsAu2 crystal, with properties calculated at the PBE level.

Cell: 7.1946 7.1946 7.1946 Å, 90.00 90.00 90.00°
Last column: nearest neighbours and their distance in Å.
Sites, in units of the cell vectors:
Ba 0.0000 0.0000 0.0000  8 Au 3.12
Ba 0.0000 0.5000 0.5000  8 Au 3.12
Ba 0.5000 0.0000 0.5000  8 Au 3.12
Ba 0.5000 0.5000 0.0000  8 Au 3.12
Os 0.0000 0.0000 0.5000  8 Au 3.12
Os 0.0000 0.5000 0.0000  8 Au 3.12
Os 0.5000 0.0000 0.0000  8 Au 3.12
Os 0.5000 0.5000 0.5000  8 Au 3.12
Au 0.2500 0.2500 0.2500  4 Ba 3.12, 4 Os 3.12
Au 0.2500 0.2500 0.7500  4 Ba 3.12, 4 Os 3.12
Au 0.2500 0.7500 0.2500  4 Ba 3.12, 4 Os 3.12
Au 0.2500 0.7500 0.7500  4 Ba 3.12, 4 Os 3.12
Au 0.7500 0.2500 0.2500  4 Ba 3.12, 4 Os 3.12
Au 0.7500 0.2500 0.7500  4 Ba 3.12, 4 Os 3.12
Au 0.7500 0.7500 0.2500  4 Ba 3.12, 4 Os 3.12
Au 0.7500 0.7500 0.7500  4 Ba 3.12, 4 Os 3.12

Summary:
SG = Fm-3m
Size of the total moment = 0.379 μB/atom

=====

#d
Below is a relaxed BaOsAu2 crystal, with properties calculated at the PBE level.

Cell: 7.1637 7.1637 7.1637 Å, 90.00 90.00 90.00°
Last column: nearest neighbours and their distance in Å.
Sites, in units of the cell vectors:
Ba 0.0000 0.0000 0.0000  4 Au 3.10, 4 Os 3.10
Ba 0.0000 0.5000 0.5000  4 Os 3.10, 4 Au 3.10
Ba 0.5000 0.0000 0.5000  4 Os 3.10, 4 Au 3.10
Ba 0.5000 0.5000 0.0000  4 Os 3.10, 4 Au 3.10
Os 0.2500 0.2500 0.2500  4 Ba 3.10, 4 Au 3.10
Os 0.2500 0.7500 0.7500  4 Ba 3.10, 4 Au 3.10
Os 0.7500 0.2500 0.7500  4 Ba 3.10, 4 Au 3.10
Os 0.7500 0.7500 0.2500  4 Ba 3.10, 4 Au 3.10
Au 0.0000 0.0000 0.5000  4 Os 3.10, 4 Au 3.10
Au 0.0000 0.5000 0.0000  4 Os 3.10, 4 Au 3.10
Au 0.2500 0.2500 0.7500  4 Ba 3.10, 4 Au 3.10
Au 0.2500 0.7500 0.2500  4 Ba 3.10, 4 Au 3.10
Au 0.5000 0.0000 0.0000  4 Os 3.10, 4 Au 3.10
Au 0.5000 0.5000 0.5000  4 Os 3.10, 4 Au 3.10
Au 0.7500 0.2500 0.2500  4 Ba 3.10, 4 Au 3.10
Au 0.7500 0.7500 0.7500  4 Ba 3.10, 4 Au 3.10

Summary:
SG = F-43m
Size of the total moment = 0.488 μB/atom

=====

Relative to the most stable one, in meV per atom, the structures come out at #a 437; #b 0; #c 556; #d 682.

=====

#a
Below is a relaxed BaOsAu2 crystal, with properties calculated at the PBE level.

Cell: 5.0666 5.0666 3.4008 Å, 90.00 90.00 90.00°
Last column: nearest neighbours and their distance in Å.
Sites, in units of the cell vectors:
Ba 0.0000 0.0000 0.0000  8 Au 3.05, 2 Ba 3.40
Os 0.5000 0.5000 0.0000  8 Au 3.05, 2 Os 3.40
Au 0.0000 0.5000 0.5000  4 Ba 3.05, 4 Os 3.05, 2 Au 3.40
Au 0.5000 0.0000 0.5000  4 Ba 3.05, 4 Os 3.05, 2 Au 3.40

Summary:
SG = P4/mmm
Size of the total moment = 0.000 μB/atom

=====

#b
Below is a relaxed BaOsAu2 crystal, with properties calculated at the PBE level.

Cell: 5.2836 5.2836 17.4025 Å, 90.00 90.00 90.00°
Last column: nearest neighbours and their distance in Å.
Sites, in units of the cell vectors:
Ba 0.0000 0.0000 0.0000  4 Au 3.35, 4 Os 3.74
Ba 0.0000 0.5000 0.2500  4 Au 3.35, 4 Os 3.74
Ba 0.5000 0.0000 0.7500  4 Au 3.35, 4 Os 3.74
Ba 0.5000 0.5000 0.5000  4 Au 3.35, 4 Os 3.74
Os 0.0000 0.0000 0.5000  4 Au 2.59
Os 0.0000 0.5000 0.7500  4 Au 2.59
Os 0.5000 0.0000 0.2500  4 Au 2.59
Os 0.5000 0.5000 0.0000  4 Au 2.59
Au 0.0863 0.2500 0.6250  2 Os 2.59, 2 Au 2.79
Au 0.2500 0.5863 0.8750  2 Os 2.59, 2 Au 2.79
Au 0.2500 0.9137 0.3750  2 Os 2.59, 2 Au 2.79
Au 0.4137 0.2500 0.1250  2 Os 2.59, 2 Au 2.79
Au 0.5863 0.7500 0.1250  2 Os 2.59, 2 Au 2.79
Au 0.7500 0.0863 0.3750  2 Os 2.59, 2 Au 2.79
Au 0.7500 0.4137 0.8750  2 Os 2.59, 2 Au 2.79
Au 0.9137 0.7500 0.6250  2 Os 2.59, 2 Au 2.79

Summary:
SG = I-42d
Size of the total moment = 0.266 μB/atom

=====

Relative to the most stable one, in meV per atom, the structures come out at #a 161; #b 0.

=====

#a
Below is a relaxed BaOsAu2 crystal, with properties calculated at the PBE level.

Cell: 3.1047 3.9262 7.2890 Å, 90.00 90.00 90.00°
Last column: nearest neighbours and their distance in Å.
Sites, in units of the cell vectors:
Ba 0.0000 0.0000 0.0000  2 Ba 3.10, 8 Au 3.39
Os 0.0000 0.0000 0.5000  8 Au 2.85, 2 Os 3.10
Au 0.5000 0.5000 0.3136  1 Au 2.72, 4 Os 2.85
Au 0.5000 0.5000 0.6864  1 Au 2.72, 4 Os 2.85

Summary:
SG = Pmmm
Size of the total moment = 0.133 μB/atom

=====

#b
Below is a relaxed BaOsAu2 crystal, with properties calculated at the PBE level.

Cell: 4.7582 4.7582 8.1649 Å, 90.00 90.00 90.00°
Last column: nearest neighbours and their distance in Å.
Sites, in units of the cell vectors:
Ba 0.0000 0.0000 0.0000  8 Au 3.13, 4 Os 3.36
Ba 0.5000 0.5000 0.5000  8 Au 3.13, 4 Os 3.36
Os 0.0000 0.0000 0.5000  8 Au 3.13, 4 Ba 3.36
Os 0.5000 0.5000 0.0000  8 Au 3.13, 4 Ba 3.36
Au 0.0000 0.5000 0.2500  4 Os 3.13, 4 Ba 3.13, 4 Au 3.36
Au 0.0000 0.5000 0.7500  4 Ba 3.13, 4 Os 3.13, 4 Au 3.36
Au 0.5000 0.0000 0.2500  4 Os 3.13, 4 Ba 3.13, 4 Au 3.36
Au 0.5000 0.0000 0.7500  4 Ba 3.13, 4 Os 3.13, 4 Au 3.36

Summary:
SG = I4/mmm
Size of the total moment = 0.407 μB/atom

=====

Relative to the most stable one, in meV per atom, the structures come out at #a 0; #b 252.